# K2BaAs (PBE, relaxed)
data_K2BaAs
_chemical_formula_sum 'K2 Ba1 As1'
_symmetry_space_group_name_H-M 'P 1'
_symmetry_Int_Tables_number 1
_cell_length_a 5.0434
_cell_length_b 5.0425
_cell_length_c 5.9634
_cell_angle_alpha 90.00
_cell_angle_beta 90.00
_cell_angle_gamma 90.00
loop_
_symmetry_equiv_pos_as_xyz
'x,y,z'
loop_
_atom_site_label
_atom_site_fract_x
_atom_site_fract_y
_atom_site_fract_z
K1 0.5000 0.5000 0.0000
K2 0.0000 0.0000 0.0000
As1 0.5000 0.0000 0.5000
Ba1 0.0000 0.5000 0.5000
# - Formation enthalpy at 0 K: -30.5 kJ per mole of atoms